Here is a crystal of CoSiPS2 relaxed with PBEsol from Alexandria. Energies are from meta-GGA SCAN.

## Properties
Magnetization: 2.5 μB/f.u.
Formation energy from raw total energies: 0.781 eV/atom

Cell lengths 4.3956, 4.3956, 4.4326 Å; angles 90.00, 90.00, 90.00 degrees
Closest atoms and distances in Å follow each position.
Element x y z (fractional)
Co (0.0000, 0.0000, 0.0000)  4 P 3.11, 8 S 3.12
Si (0.5000, 0.5000, 0.5000)  4 S 2.20, 2 P 2.22
P (0.5000, 0.5000, 0.0000)  2 Si 2.22
S (0.0000, 0.5000, 0.5000)  2 Si 2.20
S (0.5000, 0.0000, 0.5000)  2 Si 2.20

=====

Here is a crystal of LiCr3B relaxed with PBEsol from Alexandria. Energies are from meta-GGA SCAN.

## Properties
Magnetization: 2.4 μB/f.u.
Formation enthalpy at 0 K: 1820 meV per atom

Cell lengths 3.7325, 3.7325, 3.7325 Å; angles 90.00, 90.00, 90.00 degrees
Closest atoms and distances in Å follow each position.
Element x y z (fractional)
Li (0.0000, 0.0000, 0.0000)  6 Cr 1.87
Cr (0.0000, 0.0000, 0.5000)  2 Li 1.87
Cr (0.0000, 0.5000, 0.0000)  2 Li 1.87
Cr (0.5000, 0.0000, 0.0000)  2 Li 1.87
B (0.5000, 0.5000, 0.5000)  12 Cr 2.64

=====

Here is a crystal of Ag2HgCl2 relaxed with PBEsol from Alexandria. Energies are from meta-GGA SCAN.

## Properties
Magnetization: 0.0 μB/f.u.
Formation energy from raw total energies: -0.337 eV/atom

Cell lengths 7.3892, 7.3892, 7.3892 Å; angles 139.35, 139.35, 58.84 degrees
Closest atoms and distances in Å follow each position.
Element x y z (fractional)
Ag (0.2130, 0.2130, 0.0000)  4 Cl 2.61, 1 Hg 2.74
Ag (0.7870, 0.7870, 0.0000)  4 Cl 2.61, 1 Hg 2.74
Hg (0.0000, 0.0000, 0.0000)  2 Ag 2.74
Cl (0.2500, 0.7500, 0.5000)  4 Ag 2.61
Cl (0.7500, 0.2500, 0.5000)  4 Ag 2.61

=====

Here is a crystal of ScRe2Sb relaxed with PBEsol from Alexandria. Energies are from meta-GGA SCAN.

## Properties
Magnetization: 0.0 μB/f.u.
Formation energy from raw total energies: 0.055 eV/atom

Cell lengths 5.4036, 5.4036, 5.4036 Å; angles 144.87, 131.90, 60.94 degrees
Closest atoms and distances in Å follow each position.
Element x y z (fractional)
Sc (0.0000, 0.0000, 0.0000)  6 Re 2.74-2.91, 2 Sb 2.99
Re (0.5085, 0.5085, 0.0000)  2 Re 2.72, 4 Sc 2.74, 2 Sb 2.77
Re (0.7416, 0.2416, 0.5000)  2 Re 2.72, 4 Sb 2.75, 2 Sc 2.91
Sb (0.2687, 0.7687, 0.5000)  6 Re 2.75-2.77, 4 Sc 2.99-3.08

=====

Which value of magnetization does entry 1 give? 2.5 μB/f.u.